# HfScF2 | the Alexandria database | meta-GGA SCAN | PBEsol geometry
data_HfScF2
_chemical_formula_sum 'Hf4 Sc4 F8'
_symmetry_space_group_name_H-M 'F m -3 m'
_symmetry_Int_Tables_number 225
_symmetry_space_group_name_Hall '-F 4 2 3'
_cell_length_a 6.096
_cell_length_b 6.096
_cell_length_c 6.096
_cell_angle_alpha 90.00
_cell_angle_beta 90.00
_cell_angle_gamma 90.00
loop_
_atom_site_label
_atom_site_fract_x
_atom_site_fract_y
_atom_site_fract_z
Hf1 0.000 0.000 0.000
Sc1 0.000 0.000 0.500
F1 0.250 0.250 0.250
# DOS(E_F)   0.827 states/eV/atom

# HfSeF3 | the Alexandria database | meta-GGA SCAN | PBEsol geometry
data_HfSeF3
_chemical_formula_sum 'Hf1 Se1 F3'
_symmetry_space_group_name_H-M 'P m -3 m'
_symmetry_Int_Tables_number 221
_symmetry_space_group_name_Hall '-P 4 2 3'
_cell_length_a 4.397
_cell_length_b 4.397
_cell_length_c 4.397
_cell_angle_alpha 90.00
_cell_angle_beta 90.00
_cell_angle_gamma 90.00
loop_
_atom_site_label
_atom_site_fract_x
_atom_site_fract_y
_atom_site_fract_z
Hf1 0.000 0.000 0.000
Se1 0.500 0.500 0.500
F1 0.000 0.500 0.500
# DOS(E_F)   0.522 states/eV/atom

# HfSiF3 | the Alexandria database | meta-GGA SCAN | PBEsol geometry
data_HfSiF3
_chemical_formula_sum 'Hf1 Si1 F3'
_symmetry_space_group_name_H-M 'P m -3 m'
_symmetry_Int_Tables_number 221
_symmetry_space_group_name_Hall '-P 4 2 3'
_cell_length_a 4.226
_cell_length_b 4.226
_cell_length_c 4.226
_cell_angle_alpha 90.00
_cell_angle_beta 90.00
_cell_angle_gamma 90.00
loop_
_atom_site_label
_atom_site_fract_x
_atom_site_fract_y
_atom_site_fract_z
Hf1 0.000 0.000 0.000
Si1 0.500 0.500 0.500
F1 0.000 0.500 0.500
# DOS(E_F)   0.478 states/eV/atom

# HfSiF3 | the Alexandria database | meta-GGA SCAN | PBEsol geometry
data_HfSiF3
_chemical_formula_sum 'Hf1 Si1 F3'
_symmetry_space_group_name_H-M 'P m -3 m'
_symmetry_Int_Tables_number 221
_symmetry_space_group_name_Hall '-P 4 2 3'
_cell_length_a 4.202
_cell_length_b 4.202
_cell_length_c 4.202
_cell_angle_alpha 90.00
_cell_angle_beta 90.00
_cell_angle_gamma 90.00
loop_
_atom_site_label
_atom_site_fract_x
_atom_site_fract_y
_atom_site_fract_z
Hf1 0.000 0.000 0.000
Si1 0.500 0.500 0.500
F1 0.000 0.000 0.500
# DOS(E_F)   0.776 states/eV/atom

# HfSnF2 | the Alexandria database | meta-GGA SCAN | PBEsol geometry
data_HfSnF2
_chemical_formula_sum 'Hf4 Sn4 F8'
_symmetry_space_group_name_H-M 'F m -3 m'
_symmetry_Int_Tables_number 225
_symmetry_space_group_name_Hall '-F 4 2 3'
_cell_length_a 6.238
_cell_length_b 6.238
_cell_length_c 6.238
_cell_angle_alpha 90.00
_cell_angle_beta 90.00
_cell_angle_gamma 90.00
loop_
_atom_site_label
_atom_site_fract_x
_atom_site_fract_y
_atom_site_fract_z
Hf1 0.000 0.000 0.000
Sn1 0.000 0.000 0.500
F1 0.250 0.250 0.250
# DOS(E_F)   0.672 states/eV/atom

# HfTaF2 | the Alexandria database | meta-GGA SCAN | PBEsol geometry
data_HfTaF2
_chemical_formula_sum 'Hf4 Ta4 F8'
_symmetry_space_group_name_H-M 'F m -3 m'
_symmetry_Int_Tables_number 225
_symmetry_space_group_name_Hall '-F 4 2 3'
_cell_length_a 6.069
_cell_length_b 6.069
_cell_length_c 6.069
_cell_angle_alpha 90.00
_cell_angle_beta 90.00
_cell_angle_gamma 90.00
loop_
_atom_site_label
_atom_site_fract_x
_atom_site_fract_y
_atom_site_fract_z
Hf1 0.000 0.000 0.000
Ta1 0.000 0.000 0.500
F1 0.250 0.250 0.250
# DOS(E_F)   0.728 states/eV/atom

# Hf3TcF | the Alexandria database | meta-GGA SCAN | PBEsol geometry
data_Hf3TcF
_chemical_formula_sum 'Hf3 Tc1 F1'
_symmetry_space_group_name_H-M 'P m -3 m'
_symmetry_Int_Tables_number 221
_symmetry_space_group_name_Hall '-P 4 2 3'
_cell_length_a 4.374
_cell_length_b 4.374
_cell_length_c 4.374
_cell_angle_alpha 90.00
_cell_angle_beta 90.00
_cell_angle_gamma 90.00
loop_
_atom_site_label
_atom_site_fract_x
_atom_site_fract_y
_atom_site_fract_z
Hf1 0.000 0.000 0.500
Tc1 0.500 0.500 0.500
F1 0.000 0.000 0.000
# DOS(E_F)   1.158 states/eV/atom

# Hf2TeF | the Alexandria database | meta-GGA SCAN | PBEsol geometry
data_Hf2TeF
_chemical_formula_sum 'Hf8 Te4 F4'
_symmetry_space_group_name_H-M 'F m -3 m'
_symmetry_Int_Tables_number 225
_symmetry_space_group_name_Hall '-F 4 2 3'
_cell_length_a 6.599
_cell_length_b 6.599
_cell_length_c 6.599
_cell_angle_alpha 90.00
_cell_angle_beta 90.00
_cell_angle_gamma 90.00
loop_
_atom_site_label
_atom_site_fract_x
_atom_site_fract_y
_atom_site_fract_z
Hf1 0.250 0.250 0.250
Te1 0.000 0.000 0.000
F1 0.000 0.000 0.500
# DOS(E_F)   0.869 states/eV/atom

# Hf3TeF | the Alexandria database | meta-GGA SCAN | PBEsol geometry
data_Hf3TeF
_chemical_formula_sum 'Hf3 Te1 F1'
_symmetry_space_group_name_H-M 'P m -3 m'
_symmetry_Int_Tables_number 221
_symmetry_space_group_name_Hall '-P 4 2 3'
_cell_length_a 5.208
_cell_length_b 5.208
_cell_length_c 5.208
_cell_angle_alpha 90.00
_cell_angle_beta 90.00
_cell_angle_gamma 90.00
loop_
_atom_site_label
_atom_site_fract_x
_atom_site_fract_y
_atom_site_fract_z
Hf1 0.000 0.000 0.500
Te1 0.000 0.000 0.000
F1 0.500 0.500 0.500
# DOS(E_F)   1.444 states/eV/atom

# HfTi3F | the Alexandria database | meta-GGA SCAN | PBEsol geometry
data_HfTi3F
_chemical_formula_sum 'Hf1 Ti3 F1'
_symmetry_space_group_name_H-M 'P m -3 m'
_symmetry_Int_Tables_number 221
_symmetry_space_group_name_Hall '-P 4 2 3'
_cell_length_a 4.858
_cell_length_b 4.858
_cell_length_c 4.858
_cell_angle_alpha 90.00
_cell_angle_beta 90.00
_cell_angle_gamma 90.00
loop_
_atom_site_label
_atom_site_fract_x
_atom_site_fract_y
_atom_site_fract_z
Hf1 0.000 0.000 0.000
Ti1 0.000 0.000 0.500
F1 0.500 0.500 0.500
# DOS(E_F)   1.580 states/eV/atom

# YHf2TiF | the Alexandria database | meta-GGA SCAN | PBEsol geometry
data_YHf2TiF
_chemical_formula_sum 'Y1 Hf2 Ti1 F1'
_symmetry_space_group_name_H-M 'P 4/m m m'
_symmetry_Int_Tables_number 123
_symmetry_space_group_name_Hall '-P 4 2'
_cell_length_a 5.319
_cell_length_b 5.319
_cell_length_c 3.856
_cell_angle_alpha 90.00
_cell_angle_beta 90.00
_cell_angle_gamma 90.00
loop_
_atom_site_label
_atom_site_fract_x
_atom_site_fract_y
_atom_site_fract_z
Y1 0.000 0.000 0.000
Hf1 0.000 0.500 0.500
Ti1 0.500 0.500 0.500
F1 0.500 0.500 0.000
# DOS(E_F)   1.276 states/eV/atom

# HfVF6 | the Alexandria database | meta-GGA SCAN | PBEsol geometry
data_HfVF6
_chemical_formula_sum 'Hf4 V4 F24'
_symmetry_space_group_name_H-M 'F m -3 m'
_symmetry_Int_Tables_number 225
_symmetry_space_group_name_Hall '-F 4 2 3'
_cell_length_a 8.052
_cell_length_b 8.052
_cell_length_c 8.052
_cell_angle_alpha 90.00
_cell_angle_beta 90.00
_cell_angle_gamma 90.00
loop_
_atom_site_label
_atom_site_fract_x
_atom_site_fract_y
_atom_site_fract_z
Hf1 0.000 0.000 0.000
V1 0.000 0.000 0.500
F1 0.000 0.000 0.247
# DOS(E_F)   0.000 states/eV/atom

# YHfF2 | the Alexandria database | meta-GGA SCAN | PBEsol geometry
data_YHfF2
_chemical_formula_sum 'Y4 Hf4 F8'
_symmetry_space_group_name_H-M 'I -4 2 d'
_symmetry_Int_Tables_number 122
_symmetry_space_group_name_Hall 'I -4 2bw'
_cell_length_a 5.249
_cell_length_b 5.249
_cell_length_c 10.298
_cell_angle_alpha 90.00
_cell_angle_beta 90.00
_cell_angle_gamma 90.00
loop_
_atom_site_label
_atom_site_fract_x
_atom_site_fract_y
_atom_site_fract_z
Y1 0.000 0.000 0.000
Hf1 0.000 0.000 0.500
F1 0.246 0.250 0.125
# DOS(E_F)   0.745 states/eV/atom

# HfZnF2 | the Alexandria database | meta-GGA SCAN | PBEsol geometry
data_HfZnF2
_chemical_formula_sum 'Hf4 Zn4 F8'
_symmetry_space_group_name_H-M 'F m -3 m'
_symmetry_Int_Tables_number 225
_symmetry_space_group_name_Hall '-F 4 2 3'
_cell_length_a 5.897
_cell_length_b 5.897
_cell_length_c 5.897
_cell_angle_alpha 90.00
_cell_angle_beta 90.00
_cell_angle_gamma 90.00
loop_
_atom_site_label
_atom_site_fract_x
_atom_site_fract_y
_atom_site_fract_z
Hf1 0.000 0.000 0.000
Zn1 0.000 0.000 0.500
F1 0.250 0.250 0.250
# DOS(E_F)   0.791 states/eV/atom

# HfZrF3 | the Alexandria database | meta-GGA SCAN | PBEsol geometry
data_HfZrF3
_chemical_formula_sum 'Hf1 Zr1 F3'
_symmetry_space_group_name_H-M 'P m -3 m'
_symmetry_Int_Tables_number 221
_symmetry_space_group_name_Hall '-P 4 2 3'
_cell_length_a 4.276
_cell_length_b 4.276
_cell_length_c 4.276
_cell_angle_alpha 90.00
_cell_angle_beta 90.00
_cell_angle_gamma 90.00
loop_
_atom_site_label
_atom_site_fract_x
_atom_site_fract_y
_atom_site_fract_z
Hf1 0.000 0.000 0.000
Zr1 0.500 0.500 0.500
F1 0.000 0.000 0.500
# DOS(E_F)   0.559 states/eV/atom

# HfZrF3 | the Alexandria database | meta-GGA SCAN | PBEsol geometry
data_HfZrF3
_chemical_formula_sum 'Hf1 Zr1 F3'
_symmetry_space_group_name_H-M 'P m -3 m'
_symmetry_Int_Tables_number 221
_symmetry_space_group_name_Hall '-P 4 2 3'
_cell_length_a 4.330
_cell_length_b 4.330
_cell_length_c 4.330
_cell_angle_alpha 90.00
_cell_angle_beta 90.00
_cell_angle_gamma 90.00
loop_
_atom_site_label
_atom_site_fract_x
_atom_site_fract_y
_atom_site_fract_z
Hf1 0.000 0.000 0.000
Zr1 0.500 0.500 0.500
F1 0.000 0.500 0.500
# DOS(E_F)   0.739 states/eV/atom

# HfZr3F | the Alexandria database | meta-GGA SCAN | PBEsol geometry
data_HfZr3F
_chemical_formula_sum 'Hf1 Zr3 F1'
_symmetry_space_group_name_H-M 'P m -3 m'
_symmetry_Int_Tables_number 221
_symmetry_space_group_name_Hall '-P 4 2 3'
_cell_length_a 5.139
_cell_length_b 5.139
_cell_length_c 5.139
_cell_angle_alpha 90.00
_cell_angle_beta 90.00
_cell_angle_gamma 90.00
loop_
_atom_site_label
_atom_site_fract_x
_atom_site_fract_y
_atom_site_fract_z
Hf1 0.000 0.000 0.000
Zr1 0.000 0.000 0.500
F1 0.500 0.500 0.500
# DOS(E_F)   1.463 states/eV/atom

# HgF | the Alexandria database | meta-GGA SCAN | PBEsol geometry
data_HgF
_chemical_formula_sum 'Hg4 F4'
_symmetry_space_group_name_H-M 'I 4/m m m'
_symmetry_Int_Tables_number 139
_symmetry_space_group_name_Hall '-I 4 2'
_cell_length_a 3.641
_cell_length_b 3.641
_cell_length_c 10.981
_cell_angle_alpha 90.00
_cell_angle_beta 90.00
_cell_angle_gamma 90.00
loop_
_atom_site_label
_atom_site_fract_x
_atom_site_fract_y
_atom_site_fract_z
Hg1 0.000 0.000 0.116
F1 0.000 0.000 0.313
# DOS(E_F)   0.000 states/eV/atom

First-principles (meta-GGA SCAN) data for a PBEsol-optimized structure of HgF2, as listed in the Alexandria database.

```
data_HgF2
_chemical_formula_sum 'Hg4 F8'
_symmetry_space_group_name_H-M 'F m -3 m'
_symmetry_Int_Tables_number 225
_symmetry_space_group_name_Hall '-F 4 2 3'
_cell_length_a 5.541
_cell_length_b 5.541
_cell_length_c 5.541
_cell_angle_alpha 90.00
_cell_angle_beta 90.00
_cell_angle_gamma 90.00
loop_
_atom_site_label
_atom_site_fract_x
_atom_site_fract_y
_atom_site_fract_z
Hg1 0.000 0.000 0.000
F1 0.250 0.250 0.250
```

First-principles (meta-GGA SCAN) data for a PBEsol-optimized structure of HgF2, as listed in the Alexandria database.

```
data_HgF2
_chemical_formula_sum 'Hg4 F8'
_symmetry_space_group_name_H-M 'P n m a'
_symmetry_Int_Tables_number 62
_cell_length_a 5.925
_cell_length_b 3.674
_cell_length_c 7.180
_cell_angle_alpha 90.00
_cell_angle_beta 90.00
_cell_angle_gamma 90.00
loop_
_symmetry_equiv_pos_as_xyz
'x,y,z'
'-x,-y,-z'
'-x+1/2,-y,z+1/2'
'x+1/2,y,-z+1/2'
'x+1/2,-y+1/2,-z+1/2'
'-x+1/2,y+1/2,z+1/2'
'-x,y+1/2,-z'
'x,-y+1/2,z'
loop_
_atom_site_label
_atom_site_fract_x
_atom_site_fract_y
_atom_site_fract_z
Hg1 0.243 0.250 0.107
F1 0.013 0.250 0.837
F2 0.140 0.250 0.419
```

Number 1: magnetic moment 0.0 μB per formula unit, formation energy without anion corrections -1.120 eV per atom. Number 2: magnetic moment 1.9 μB per formula unit, formation energy without anion corrections -0.197 eV per atom. Number 3: magnetic moment 2.1 μB per formula unit, formation energy without anion corrections -0.700 eV per atom. Number 4: magnetic moment 2.9 μB per formula unit, formation energy without anion corrections -1.835 eV per atom. Number 5: magnetic moment 0.0 μB per formula unit, formation energy without anion corrections -1.031 eV per atom. Number 6: magnetic moment 0.0 μB per formula unit, formation energy without anion corrections -0.414 eV per atom. Number 7: magnetic moment 0.0 μB per formula unit, formation energy without anion corrections -0.422 eV per atom. Number 8: magnetic moment 0.0 μB per formula unit, formation energy without anion corrections -0.766 eV per atom. Number 9: magnetic moment 0.0 μB per formula unit, formation energy without anion corrections 1.119 eV per atom. Number 10: magnetic moment 3.3 μB per formula unit, formation energy without anion corrections 1.147 eV per atom. Number 11: magnetic moment 1.3 μB per formula unit, formation energy without anion corrections 0.059 eV per atom. Number 12: magnetic moment 3.0 μB per formula unit, formation energy without anion corrections -3.665 eV per atom. Number 13: magnetic moment 0.0 μB per formula unit, formation energy without anion corrections -1.982 eV per atom. Number 14: magnetic moment 0.0 μB per formula unit, formation energy without anion corrections -1.127 eV per atom. Number 15: magnetic moment 4.7 μB per formula unit, formation energy without anion corrections -1.678 eV per atom. Number 16: magnetic moment 4.3 μB per formula unit, formation energy without anion corrections -1.578 eV per atom. Number 17: magnetic moment 0.0 μB per formula unit, formation energy without anion corrections 0.984 eV per atom. Number 18: magnetic moment 0.0 μB per formula unit, formation energy without anion corrections -1.264 eV per atom. Number 19: magnetic moment 0.0 μB per formula unit, formation energy without anion corrections -1.469 eV per atom. Number 20: magnetic moment 0.0 μB per formula unit, formation energy without anion corrections -1.461 eV per atom.